Density functional theory data (PBE) for PmNbTlO4 after structural relaxation.

abc: 6.421 6.287 7.668
angles: 90.00 106.41 90.00
Space group P2_1/m (No. 11)
Unique sites:
Pm1 0.140 0.250 0.446
Nb1 0.405 0.750 0.668
Tl1 0.247 0.750 0.083
O1 0.190 0.530 0.648
O2 0.292 0.250 0.208
O3 0.460 0.750 0.441

Values from the calculation:
total magnetic moment = 0.0687 μB/atom
density of states at the Fermi level = 6.044 states/eV per cell
final energy = -105.49 eV per cell
calculated volume = 297.0 Å³ per cell